This record from Alexandria describes Ca3Zn2Pd3 after structural relaxation. The functional is PBE-GGA.

* V: 21.59 Å³/atom
* E_form: -0.637 eV/atom

CIF file:
```
data_Ca3Zn2Pd3
_chemical_formula_sum 'Ca12 Zn8 Pd12'
_cell_length_a 4.330
_cell_length_b 11.025
_cell_length_c 14.471
_cell_angle_alpha 90.00
_cell_angle_beta 90.00
_cell_angle_gamma 90.00
_symmetry_space_group_name_H-M 'C m c m'
_symmetry_Int_Tables_number 63
_symmetry_space_group_name_Hall '-C 2c 2'
loop_
_atom_site_label
_atom_site_fract_x
_atom_site_fract_y
_atom_site_fract_z
_atom_site_occupancy
Ca1 0.000 0.078 0.109 1
Ca2 0.000 0.360 0.250 1
Zn1 0.000 0.220 0.592 1
Pd1 0.000 0.340 0.750 1
Pd2 0.000 0.387 0.042 1
```